[1]
A geometry-optimized SrAgP2 structure, computed with GGA-PBE.

Cell lengths 5.0552, 5.0552, 5.0552 Å; angles 126.68, 106.52, 96.79 degrees
Closest atoms and distances in Å follow each position.
Element x y z (fractional)
P 0.0804 0.0804 0.0000  1 P 2.28, 2 Ag 2.54
P 0.4196 0.4196 0.0000  1 P 2.28, 2 Ag 2.54
Sr 0.7500 0.2500 0.5000  8 P 3.17-3.23, 2 Ag 3.36
Ag 0.2500 0.7500 0.5000  4 P 2.54

Results
density of states at the Fermi level: 0.488 states/eV/atom
energy: -4.185 eV/atom


[2]
A geometry-optimized AcZn2InPd5 structure, computed with GGA-PBE.

Cell lengths 4.7997, 4.7997, 7.5077 Å; angles 90.00, 90.00, 90.00 degrees
Closest atoms and distances in Å follow each position.
Element x y z (fractional)
Pd 0.5000 0.5000 0.5000  2 Zn 2.54
Pd 0.0000 0.5000 0.2179  2 Zn 2.44
Pd 0.0000 0.5000 0.7821  2 Zn 2.44
Pd 0.5000 0.0000 0.2179  2 Zn 2.44
Pd 0.5000 0.0000 0.7821  2 Zn 2.44
Ac 0.0000 0.0000 0.5000  12 Pd 3.20-3.39
Zn 0.5000 0.5000 0.1617  1 Zn 2.43, 5 Pd 2.44-2.54
Zn 0.5000 0.5000 0.8383  1 Zn 2.43, 5 Pd 2.44-2.54
In 0.0000 0.0000 0.0000  8 Pd 2.90

Results
density of states at the Fermi level: 0.433 states/eV/atom
energy: -4.373 eV/atom


[3]
A geometry-optimized Tm2ZrB2Ru5 structure, computed with GGA-PBE.

Cell lengths 3.1549, 9.7075, 9.7075 Å; angles 90.00, 90.00, 90.00 degrees
Closest atoms and distances in Å follow each position.
Element x y z (fractional)
B 0.0000 0.3790 0.1210  6 Ru 2.24-2.29
B 0.0000 0.6210 0.8790  6 Ru 2.24-2.29
B 0.0000 0.1210 0.6210  6 Ru 2.24-2.29
B 0.0000 0.8790 0.3790  6 Ru 2.24-2.29
Tm 0.0000 0.1752 0.3248  3 B 2.80-2.92, 10 Ru 2.88-3.04
Tm 0.0000 0.3248 0.8248  3 B 2.80-2.92, 10 Ru 2.88-3.04
Tm 0.0000 0.6752 0.1752  3 B 2.80-2.92, 10 Ru 2.88-3.04
Tm 0.0000 0.8248 0.6752  3 B 2.80-2.92, 10 Ru 2.88-3.04
Ru 0.5000 0.5000 0.0000  4 B 2.29
Ru 0.5000 0.0000 0.5000  4 B 2.29
Ru 0.5000 0.0717 0.7774  2 B 2.24
Ru 0.5000 0.2774 0.5717  2 B 2.24
Ru 0.5000 0.4283 0.2774  2 B 2.24
Ru 0.5000 0.5717 0.7226  2 B 2.24
Ru 0.5000 0.7774 0.9283  2 B 2.24
Ru 0.5000 0.2226 0.0717  2 B 2.24
Ru 0.5000 0.9283 0.2226  2 B 2.24
Ru 0.5000 0.7226 0.4283  2 B 2.24
Zr 0.0000 0.5000 0.5000  8 Ru 2.76
Zr 0.0000 0.0000 0.0000  8 Ru 2.76

Results
density of states at the Fermi level: 0.761 states/eV/atom
energy: -8.254 eV/atom


[4]
A geometry-optimized NaCaMgF6 structure, computed with GGA-PBE.

Cell lengths 5.0896, 5.0896, 10.1784 Å; angles 90.00, 90.00, 90.00 degrees
Closest atoms and distances in Å follow each position.
Element x y z (fractional)
Mg 0.5000 0.5000 0.8328  6 F 2.00-2.02
Mg 0.0000 0.0000 0.3327  6 F 2.00-2.02
F 0.6888 0.6888 0.6882  1 Mg 2.00
F 0.3163 0.3163 0.9824  1 Mg 2.02
F 0.8112 0.1888 0.1881  1 Mg 2.00
F 0.8163 0.1837 0.4824  1 Mg 2.02
F 0.1888 0.8112 0.1881  1 Mg 2.00
F 0.1837 0.8163 0.4824  1 Mg 2.02
F 0.2213 0.7787 0.8291  1 Mg 2.01
F 0.2787 0.2787 0.3291  1 Mg 2.01
F 0.3112 0.3112 0.6882  1 Mg 2.00
F 0.6837 0.6837 0.9824  1 Mg 2.02
F 0.7213 0.7213 0.3291  1 Mg 2.01
F 0.7787 0.2213 0.8291  1 Mg 2.01
Ca 0.0000 0.0000 0.6663  6 F 2.25-2.30
Ca 0.5000 0.5000 0.1663  6 F 2.25-2.30
Na 0.0000 0.0000 0.0015  6 F 2.28-2.37
Na 0.5000 0.5000 0.5016  6 F 2.28-2.37

Results
formation energy (no corrections): -3034 meV/atom
density of states at the Fermi level: 1.134 states/eV/atom


[5]
A geometry-optimized Ho3TlPb2 structure, computed with GGA-PBE.

Cell lengths 6.3669, 6.4739, 9.1716 Å; angles 100.67, 114.64, 88.51 degrees
Closest atoms and distances in Å follow each position.
Element x y z (fractional)
Ho 0.9560 0.4055 0.6642  5 Pb 3.15-3.52, 2 Tl 3.19-3.52, 1 Ho 3.52
Ho 0.0440 0.5945 0.3358  5 Pb 3.15-3.52, 2 Tl 3.19-3.52, 1 Ho 3.52
Ho 0.7308 0.9080 0.6663  1 Tl 3.14, 4 Pb 3.16-3.51, 1 Ho 3.52
Ho 0.3779 0.7520 0.9963  2 Tl 3.16-3.21, 4 Pb 3.18-3.50, 1 Ho 3.53
Ho 0.6221 0.2480 0.0037  2 Tl 3.16-3.21, 4 Pb 3.18-3.50, 1 Ho 3.53
Ho 0.2692 0.0920 0.3337  1 Tl 3.14, 4 Pb 3.16-3.51, 1 Ho 3.52
Tl 0.8786 0.7302 0.9896  4 Ho 3.14-3.21, 1 Tl 3.32, 1 Pb 3.34
Tl 0.1214 0.2698 0.0104  4 Ho 3.14-3.21, 1 Tl 3.32, 1 Pb 3.34
Pb 0.4564 0.4256 0.6746  6 Ho 3.15-3.50, 1 Tl 3.34, 2 Pb 3.52
Pb 0.7647 0.0710 0.3325  7 Ho 3.16-3.52, 3 Pb 3.52-3.53
Pb 0.2353 0.9290 0.6675  7 Ho 3.16-3.52, 3 Pb 3.52-3.53
Pb 0.5436 0.5744 0.3254  6 Ho 3.15-3.50, 1 Tl 3.34, 2 Pb 3.52

Results
energy above the lowest structure with this stoichiometry: 0.0000 eV/atom
density of states at the Fermi level: 0.578 states/eV/atom


[6]
A geometry-optimized CdB2Rh structure, computed with GGA-PBE.

Cell lengths 5.1803, 5.1803, 6.0220 Å; angles 64.53, 64.53, 90.00 degrees
Closest atoms and distances in Å follow each position.
Element x y z (fractional)
B 0.1968 0.6250 0.2500  2 Rh 1.99
B 0.5532 0.1250 0.2500  2 Rh 1.99
B 0.3750 0.4468 0.7500  2 Rh 1.99
B 0.8750 0.8032 0.7500  2 Rh 1.99
Cd 0.0000 0.0000 0.0000  4 B 2.43
Cd 0.7500 0.2500 0.5000  4 B 2.43
Rh 0.2500 0.7500 0.5000  4 B 1.99
Rh 0.5000 0.5000 0.0000  4 B 1.99

Results
density of states at the Fermi level: 0.392 states/eV/atom
energy: -4.741 eV/atom


[7]
A geometry-optimized CdBr2Cl structure, computed with GGA-PBE.

Cell lengths 9.2390, 9.2390, 9.2390 Å; angles 25.80, 25.80, 25.80 degrees
Closest atoms and distances in Å follow each position.
Element x y z (fractional)
Cl 0.0000 0.0000 0.0000  2 Br 2.93
Br 0.8906 0.8906 0.8906  3 Cd 2.83, 1 Cl 2.93
Br 0.1094 0.1094 0.1094  3 Cd 2.83, 1 Cl 2.93
Cd 0.5000 0.5000 0.5000  6 Br 2.83

Results
energy above the lowest structure with this stoichiometry: 0.1981 eV/atom
formation energy (no corrections): -363 meV/atom
density of states at the Fermi level: 0.238 states/eV/atom


[8]
A geometry-optimized ZnInF3 structure, computed with GGA-PBE.

Cell lengths 3.1912, 6.3512, 8.0664 Å; angles 90.00, 90.00, 104.73 degrees
Closest atoms and distances in Å follow each position.
Element x y z (fractional)
F 0.5440 0.0870 0.7500  2 Zn 2.09
F 0.8898 0.7825 0.5220  2 Zn 2.09
F 0.4561 0.9130 0.2500  2 Zn 2.09
F 0.8898 0.7825 0.9780  2 Zn 2.09
F 0.1102 0.2175 0.0220  2 Zn 2.09
F 0.1102 0.2175 0.4780  2 Zn 2.09
In 0.7817 0.5692 0.2500  4 F 2.56-2.65
In 0.2182 0.4308 0.7500  4 F 2.56-2.65
Zn 0.5000 0.0000 0.0000  6 F 2.09
Zn 0.5000 0.0000 0.5000  6 F 2.09

Results
formation energy (no corrections): -2035 meV/atom


[9]
A geometry-optimized Pm4Nd7Er structure, computed with GGA-PBE.

Cell lengths 7.3652, 6.3730, 11.7243 Å; angles 79.52, 51.04, 89.98 degrees
Closest atoms and distances in Å follow each position.
Element x y z (fractional)
Nd 0.6675 0.2216 0.3327  1 Er 3.63, 6 Nd 3.63-3.68, 5 Pm 3.67-3.68
Nd 0.5000 0.0000 0.0000  6 Nd 3.62-3.69, 4 Pm 3.62-3.64, 2 Er 3.68
Nd 0.0808 0.2775 0.6695  1 Er 3.62, 5 Nd 3.62-3.68, 6 Pm 3.66-3.69
Nd 0.9192 0.7225 0.3305  1 Er 3.62, 5 Nd 3.62-3.68, 6 Pm 3.66-3.69
Nd 0.2494 0.4998 0.9997  3 Pm 3.61-3.64, 7 Nd 3.62-3.70, 2 Er 3.68
Nd 0.3325 0.7784 0.6673  1 Er 3.63, 6 Nd 3.63-3.68, 5 Pm 3.67-3.68
Nd 0.7506 0.5002 0.0003  3 Pm 3.61-3.64, 7 Nd 3.62-3.70, 2 Er 3.68
Pm 0.4208 0.7229 0.3301  8 Nd 3.61-3.69, 1 Er 3.61, 3 Pm 3.67-3.69
Pm 0.5792 0.2771 0.6699  8 Nd 3.61-3.69, 1 Er 3.61, 3 Pm 3.67-3.69
Pm 0.1671 0.2236 0.3330  8 Nd 3.64-3.69, 4 Pm 3.65-3.69
Pm 0.8329 0.7764 0.6670  8 Nd 3.64-3.69, 4 Pm 3.65-3.69
Er 0.0000 0.0000 0.0000  2 Pm 3.61, 10 Nd 3.62-3.68

Results
energy above the lowest structure with this stoichiometry: 0.0000 eV/atom
density of states at the Fermi level: 1.290 states/eV/atom


[10]
A geometry-optimized Pm3Er8 structure, computed with GGA-PBE.

Cell lengths 4.5012, 4.5012, 22.2130 Å; angles 84.18, 84.18, 60.00 degrees
Closest atoms and distances in Å follow each position.
Element x y z (fractional)
Er 0.1731 0.1731 0.4808  3 Er 2.73
Er 0.8269 0.8269 0.5192  3 Er 2.73
Er 0.1048 0.1048 0.6855  3 Er 3.25, 3 Pm 3.41
Er 0.8952 0.8952 0.3145  3 Er 3.25, 3 Pm 3.41
Er 0.4677 0.4677 0.5968  6 Er 3.11-3.25
Er 0.6303 0.6303 0.1092  6 Pm 3.49-3.54
Er 0.3697 0.3697 0.8908  6 Pm 3.49-3.54
Er 0.5323 0.5323 0.4032  6 Er 3.11-3.25
Pm 0.0000 0.0000 0.0000  6 Er 3.54
Pm 0.7382 0.7382 0.7854  6 Er 3.41-3.49
Pm 0.2618 0.2618 0.2146  6 Er 3.41-3.49

Results
energy above the lowest structure with this stoichiometry: 0.1777 eV/atom
density of states at the Fermi level: 1.801 states/eV/atom


[11]
A geometry-optimized TaInRu2 structure, computed with GGA-PBE.

Cell lengths 4.6586, 4.6586, 5.1693 Å; angles 77.54, 77.54, 38.11 degrees
Closest atoms and distances in Å follow each position.
Element x y z (fractional)
In 0.7500 0.7500 0.7500  6 Ru 2.79-2.84, 4 Ta 3.00, 2 In 3.04
Ru 0.5100 0.5100 0.4791  3 Ta 2.65-2.81, 3 In 2.79-2.84, 2 Ru 2.85
Ru 0.9900 0.9900 0.0209  3 Ta 2.65-2.81, 3 In 2.79-2.84, 2 Ru 2.85
Ta 0.2500 0.2500 0.2500  6 Ru 2.65-2.81

Results
density of states at the Fermi level: 0.801 states/eV/atom
energy: -8.266 eV/atom


[12]
A geometry-optimized PuFe4Ru structure, computed with GGA-PBE.

Cell lengths 4.9201, 4.9201, 4.9201 Å; angles 60.00, 60.00, 60.00 degrees
Closest atoms and distances in Å follow each position.
Element x y z (fractional)
Fe 0.6259 0.6259 0.6259  6 Fe 2.44-2.48
Fe 0.6259 0.1224 0.6259  6 Fe 2.44-2.48
Fe 0.1224 0.6259 0.6259  6 Fe 2.44-2.48
Fe 0.6259 0.6259 0.1224  6 Fe 2.44-2.48
Ru 0.0000 0.0000 0.0000  12 Fe 2.88, 4 Pu 3.01
Pu 0.2500 0.2500 0.2500  12 Fe 2.89, 4 Ru 3.01

Results
density of states at the Fermi level: 2.187 states/eV/atom
energy: -9.505 eV/atom


Copy entry 3 word for word.
A geometry-optimized Tm2ZrB2Ru5 structure, computed with GGA-PBE.

Cell lengths 3.1549, 9.7075, 9.7075 Å; angles 90.00, 90.00, 90.00 degrees
Closest atoms and distances in Å follow each position.
Element x y z (fractional)
B 0.0000 0.3790 0.1210  6 Ru 2.24-2.29
B 0.0000 0.6210 0.8790  6 Ru 2.24-2.29
B 0.0000 0.1210 0.6210  6 Ru 2.24-2.29
B 0.0000 0.8790 0.3790  6 Ru 2.24-2.29
Tm 0.0000 0.1752 0.3248  3 B 2.80-2.92, 10 Ru 2.88-3.04
Tm 0.0000 0.3248 0.8248  3 B 2.80-2.92, 10 Ru 2.88-3.04
Tm 0.0000 0.6752 0.1752  3 B 2.80-2.92, 10 Ru 2.88-3.04
Tm 0.0000 0.8248 0.6752  3 B 2.80-2.92, 10 Ru 2.88-3.04
Ru 0.5000 0.5000 0.0000  4 B 2.29
Ru 0.5000 0.0000 0.5000  4 B 2.29
Ru 0.5000 0.0717 0.7774  2 B 2.24
Ru 0.5000 0.2774 0.5717  2 B 2.24
Ru 0.5000 0.4283 0.2774  2 B 2.24
Ru 0.5000 0.5717 0.7226  2 B 2.24
Ru 0.5000 0.7774 0.9283  2 B 2.24
Ru 0.5000 0.2226 0.0717  2 B 2.24
Ru 0.5000 0.9283 0.2226  2 B 2.24
Ru 0.5000 0.7226 0.4283  2 B 2.24
Zr 0.0000 0.5000 0.5000  8 Ru 2.76
Zr 0.0000 0.0000 0.0000  8 Ru 2.76

Results
density of states at the Fermi level: 0.761 states/eV/atom
energy: -8.254 eV/atom